A geometry-optimized Li2MnSbO structure. Source: Alexandria via LeMat-Bulk, functional PBE with a Hubbard U.

Unit cell a=4.1920 b=4.1920 c=4.2022 alpha=90.00 beta=90.00 gamma=90.00
Space group P4/mmm (No. 123)
Asymmetric unit:
Li1 0.0000 0.5000 0.0000 (multiplicity 2)
Mn1 0.0000 0.0000 0.5000 (multiplicity 1)
Sb1 0.5000 0.5000 0.5000 (multiplicity 1)
O1 0.0000 0.0000 0.0000 (multiplicity 1)

Calculated volume ... 74 Å³ per cell
Electronic total energy ... -0.37213 Ry per atom